(1)
Here is a geometry-optimized PmHoPb2O8 structure from Alexandria via LeMat-Bulk. Energies are from PBE-GGA.

```
PmHoPb2O8
1.0
-2.747 -3.247 -3.682
0.128 -4.265 3.665
-3.350 5.375 2.056
Pb Ho O Pm
2 1 8 1
direct
0.250 0.750 0.500 Pb
0.500 0.500 0.000 Pb
0.750 0.250 0.500 Ho
0.091 0.058 0.692 O
0.602 0.634 0.692 O
0.366 0.909 0.308 O
0.801 0.860 0.201 O
0.942 0.398 0.308 O
0.400 0.341 0.201 O
0.140 0.600 0.799 O
0.659 0.199 0.799 O
0.000 0.000 0.000 Pm
```

Computed properties:
The crystal system is tetragonal. As for the space-group type: I-4 (82). Its density of states at the Fermi level is 0.210 states/eV per atom. The calculation puts the uncorrected formation energy at -1.75 eV per atom.


(2)
Here is a geometry-optimized NdUOs structure from Alexandria via LeMat-Bulk. Energies are from PBE-GGA.

```
NdUOs
1.0
3.558 0.000 0.000
-1.779 3.081 0.000
0.000 0.000 13.698
Os U Nd
2 2 2
direct
0.333 0.667 0.435 Os
0.667 0.333 0.565 Os
0.667 0.333 0.314 U
0.333 0.667 0.686 U
0.667 0.333 0.887 Nd
0.333 0.667 0.113 Nd
```

Computed properties:
The crystal system is trigonal. Its energy above the most stable polymorph in this dataset is 0.387 eV/atom. As for the space-group type: P-3m1 (164). Its density of states at the Fermi level is 1.876 states/eV per atom.


(3)
Here is a geometry-optimized La2SiOs structure from Alexandria via LeMat-Bulk. Energies are from PBE-GGA.

```
La2SiOs
1.0
4.815 0.000 0.000
0.000 4.815 0.000
0.000 0.000 4.031
La Si Os
2 1 1
direct
0.500 0.500 0.000 La
0.000 0.000 0.000 La
0.000 0.500 0.500 Si
0.500 0.000 0.500 Os
```

Computed properties:
The crystal system is tetragonal. As for the space-group type: P4/mmm (123). Its density of states at the Fermi level is 0.552 states/eV per atom. The calculation puts the uncorrected formation energy at -0.14 eV per atom.


(4)
Here is a geometry-optimized MnSiIrW structure from Alexandria via LeMat-Bulk. Energies are from PBE-GGA.

```
MnSiIrW
1.0
4.256 0.000 0.000
2.128 3.686 0.000
2.128 1.229 3.475
Mn Ir Si W
1 1 1 1
direct
0.250 0.250 0.250 Mn
0.000 0.000 0.000 Ir
0.750 0.750 0.750 Si
0.500 0.500 0.500 W
```

Computed properties:
The crystal system is cubic. As for the space-group type: F-43m (216). Its density of states at the Fermi level is 0.353 states/eV per atom. The calculation puts the uncorrected formation energy at -0.23 eV per atom.


(5)
Here is a geometry-optimized BC5 structure from Alexandria via LeMat-Bulk. Energies are from PBE-GGA.

```
BC5
1.0
-3.943 -3.714 4.156
-2.347 -6.427 0.048
4.521 5.135 0.088
B C
2 10
direct
0.993 0.335 0.658 B
0.991 0.001 0.990 B
0.499 0.167 0.332 C
0.498 0.500 0.998 C
0.616 0.957 0.659 C
0.137 0.787 0.349 C
0.131 0.129 0.002 C
0.627 0.626 0.001 C
0.002 0.667 0.336 C
0.145 0.459 0.686 C
0.618 0.291 0.327 C
0.494 0.832 0.662 C
```

Computed properties:
The crystal system is monoclinic. Its energy above the most stable polymorph in this dataset is 0.063 eV/atom. As for the space-group type: Cm (8). Its density of states at the Fermi level is 0.159 states/eV per atom.


(6)
Here is a geometry-optimized ErPaAlAu structure from Alexandria via LeMat-Bulk. Energies are from PBE-GGA.

```
ErPaAlAu
1.0
-1.806 0.979 -4.671
-2.799 -3.501 -2.438
-4.997 0.762 -0.696
Al Pa Au Er
1 1 1 1
direct
0.500 0.500 0.500 Al
0.750 0.750 0.750 Pa
0.000 0.000 0.000 Au
0.250 0.250 0.250 Er
```

Computed properties:
The crystal system is cubic. As for the space-group type: F-43m (216). Its density of states at the Fermi level is 1.823 states/eV per atom.


Record-wise raw total energy values, in eV per atom: -6.449, -8.657, -6.767, -9.334, -8.528, -5.485